MgCdGaPd2 | GGA-PBE | relaxed

symmetry = P2_1/m
spin magnetization = 0.000 μB per formula unit
formation enthalpy at 0 K = -0.472 eV per atom
calculated total energy = -0.269 Ry/atom

Cell and atoms, written as POSCAR:
```
MgCdGaPd2
1.0
5.846 0.000 0.000
0.000 4.351 0.000
-1.104 0.000 6.733
Mg Cd Ga Pd
2 2 2 4
direct
0.193 0.250 0.043 Mg
0.807 0.750 0.957 Mg
0.260 0.750 0.769 Cd
0.740 0.250 0.231 Cd
0.305 0.250 0.445 Ga
0.695 0.750 0.555 Ga
0.028 0.750 0.346 Pd
0.447 0.750 0.205 Pd
0.553 0.250 0.795 Pd
0.972 0.250 0.654 Pd
```

***

Ba2SrMgCu | GGA-PBE | relaxed

symmetry = P4/mmm
spin magnetization = 0.000 μB per formula unit
ΔE to the lowest computed polymorph = 0.038 eV per atom
formation enthalpy at 0 K = 0.086 eV per atom
calculated total energy = -0.159 Ry/atom

Cell and atoms, written as POSCAR:
```
Ba2SrMgCu
1.0
6.209 0.000 0.000
0.000 6.209 0.000
0.000 0.000 6.027
Ba Sr Mg Cu
2 1 1 1
direct
0.000 0.500 0.000 Ba
0.500 0.000 0.000 Ba
0.000 0.000 0.500 Sr
0.500 0.500 0.500 Mg
0.000 0.000 0.000 Cu
```

***

Ca2TlCdSb | GGA-PBE | relaxed

symmetry = P4/mmm
spin magnetization = 0.000 μB per formula unit
E_form (uncorrected) = 31 meV per atom
calculated total energy = -0.165 Ry/atom

Cell and atoms, written as POSCAR:
```
Ca2TlCdSb
1.0
5.834 0.000 0.000
0.000 5.834 0.000
0.000 0.000 5.310
Ca Tl Cd Sb
2 1 1 1
direct
0.000 0.500 0.000 Ca
0.500 0.000 0.000 Ca
0.000 0.000 0.500 Tl
0.000 0.000 0.000 Cd
0.500 0.500 0.500 Sb
```

***

| no. | calculated volume (Å³/f.u.) |
| --- | --- |
| 1 | 85.6 |
| 2 | 232.3 |
| 3 | 180.7 |